DFT (GGA-PBE) results for HgTeAsN2 after structural relaxation.

a = 4.214 Å, b = 4.214 Å, c = 6.953 Å
α = 90.00°, β = 90.00°, γ = 90.00°
Sites, in units of the cell vectors:
Hg  0.000  0.000  0.000
Te  0.000  0.000  0.500
As  0.500  0.500  0.500
N  0.000  0.500  0.000
N  0.500  0.000  0.000

The calculation puts the size of the total moment at 3.9 μB per formula unit. As for the total energy: -3.0398 eV per atom. As for the energy above the lowest structure with this stoichiometry: 14.04 kcal/mol of atoms. For the energy relative to the elements, uncorrected, the calculation gives 1909 meV per atom.

***

DFT (GGA-PBE) results for Ba8Zn after structural relaxation.

a = 9.407 Å, b = 9.407 Å, c = 9.407 Å
α = 96.87°, β = 96.87°, γ = 139.52°
Sites, in units of the cell vectors:
Ba  0.000  0.311  0.311
Ba  0.000  0.689  0.689
Ba  0.311  0.000  0.311
Ba  0.340  0.340  0.680
Ba  0.340  0.660  0.000
Ba  0.660  0.340  0.000
Ba  0.660  0.660  0.320
Ba  0.689  0.000  0.689
Zn  0.000  0.000  0.000

The calculation puts the size of the total moment at 0.0 μB per formula unit. As for the total energy: -1.7757 eV per atom. The value obtained for the calculated formation energy is 7 kJ/mol of atoms.

***

DFT (GGA-PBE) results for V4Mo5 after structural relaxation.

a = 6.732 Å, b = 6.732 Å, c = 6.732 Å
α = 93.02°, β = 93.02°, γ = 153.48°
Sites, in units of the cell vectors:
V  0.166  0.166  0.331
V  0.166  0.834  0.000
V  0.834  0.166  0.000
V  0.834  0.834  0.669
Mo  0.170  0.500  0.670
Mo  0.500  0.170  0.670
Mo  0.500  0.500  0.000
Mo  0.500  0.830  0.330
Mo  0.830  0.500  0.330

The calculation puts the size of the total moment at 0.0 μB per formula unit. As for the total energy: -10.1984 eV per atom. As for the energy above the lowest structure with this stoichiometry: 0.22 kcal/mol of atoms. The value obtained for the calculated formation energy is -12 kJ/mol of atoms.

***

DFT (GGA-PBE) results for CaCrCo after structural relaxation.

a = 6.547 Å, b = 6.547 Å, c = 6.547 Å
α = 90.00°, β = 90.00°, γ = 90.00°
Sites, in units of the cell vectors:
Ca  0.000  0.000  0.000
Ca  0.000  0.500  0.500
Ca  0.500  0.000  0.500
Ca  0.500  0.500  0.000
Cr  0.250  0.250  0.750
Cr  0.250  0.750  0.250
Cr  0.750  0.250  0.250
Cr  0.750  0.750  0.750
Co  0.250  0.250  0.250
Co  0.250  0.750  0.750
Co  0.750  0.250  0.750
Co  0.750  0.750  0.250

The calculation puts the size of the total moment at 5.8 μB per formula unit. As for the total energy: -4.7476 eV per atom. As for the energy above the lowest structure with this stoichiometry: 23.89 kcal/mol of atoms. The value obtained for the calculated formation energy is 144 kJ/mol of atoms.

***

DFT (GGA-PBE) results for Mg2Sb after structural relaxation.

a = 9.427 Å, b = 5.597 Å, c = 7.021 Å
α = 90.00°, β = 129.74°, γ = 90.00°
Sites, in units of the cell vectors:
Mg  0.172  0.119  0.253
Mg  0.172  0.881  0.753
Mg  0.328  0.381  0.747
Mg  0.328  0.619  0.247
Mg  0.672  0.381  0.753
Mg  0.672  0.619  0.253
Mg  0.828  0.119  0.247
Mg  0.828  0.881  0.747
Sb  0.000  0.362  0.750
Sb  0.000  0.638  0.250
Sb  0.500  0.138  0.250
Sb  0.500  0.862  0.750

The calculation puts the size of the total moment at 0.0 μB per formula unit. As for the total energy: -2.5851 eV per atom. For the energy relative to the elements, uncorrected, the calculation gives -148 meV per atom.

***

DFT (GGA-PBE) results for CePtN after structural relaxation.

a = 3.367 Å, b = 7.391 Å, c = 8.055 Å
α = 90.00°, β = 90.00°, γ = 90.00°
Sites, in units of the cell vectors:
Ce  0.000  0.208  0.000
Ce  0.000  0.792  0.000
Ce  0.500  0.292  0.500
Ce  0.500  0.708  0.500
Pt  0.000  0.000  0.336
Pt  0.000  0.000  0.664
Pt  0.500  0.500  0.164
Pt  0.500  0.500  0.836
N  0.000  0.500  0.333
N  0.000  0.500  0.667
N  0.500  0.000  0.167
N  0.500  0.000  0.833

The calculation puts the size of the total moment at 0.6 μB per formula unit. As for the total energy: -7.2427 eV per atom. As for the energy above the lowest structure with this stoichiometry: 14.11 kcal/mol of atoms. For the energy relative to the elements, uncorrected, the calculation gives -476 meV per atom.

***

DFT (GGA-PBE) results for PmLuBi after structural relaxation.

a = 4.048 Å, b = 4.048 Å, c = 11.028 Å
α = 90.00°, β = 90.00°, γ = 90.00°
Sites, in units of the cell vectors:
Pm  0.000  0.000  0.000
Pm  0.500  0.500  0.500
Lu  0.000  0.000  0.689
Lu  0.500  0.500  0.189
Bi  0.000  0.000  0.333
Bi  0.500  0.500  0.833

The calculation puts the size of the total moment at 1.0 μB per formula unit. As for the total energy: -4.8265 eV per atom. As for the energy above the lowest structure with this stoichiometry: 0.00 kcal/mol of atoms. The value obtained for the calculated formation energy is -43 kJ/mol of atoms.

***

DFT (GGA-PBE) results for SbW2Cl after structural relaxation.

a = 2.864 Å, b = 5.476 Å, c = 9.242 Å
α = 90.00°, β = 90.00°, γ = 90.00°
Sites, in units of the cell vectors:
Sb  0.000  0.000  0.000
Sb  0.500  0.500  0.500
W  0.000  0.500  0.239
W  0.000  0.500  0.761
W  0.500  0.000  0.261
W  0.500  0.000  0.739
Cl  0.000  0.000  0.500
Cl  0.500  0.500  0.000

The calculation puts the size of the total moment at 0.0 μB per formula unit. As for the total energy: -6.9697 eV per atom. As for the energy above the lowest structure with this stoichiometry: 21.98 kcal/mol of atoms. For the energy relative to the elements, uncorrected, the calculation gives 999 meV per atom.